[1]
Computed, not measured: AlCoPdRh after structural relaxation at the PBE level of DFT.

abc: 4.2528 4.2528 4.2528
angles: 60.00 60.00 60.00
Last column: nearest neighbours and their distance in Å.
Fractional positions:
1 Pd 0.0000 0.0000 0.0000  4 Al 2.60, 4 Co 2.60
2 Rh 0.5000 0.5000 0.5000  4 Co 2.60, 4 Al 2.60
3 Co 0.7500 0.7500 0.7500  4 Rh 2.60, 4 Pd 2.60
4 Al 0.2500 0.2500 0.2500  4 Rh 2.60, 4 Pd 2.60

Properties
SG: F-43m, No. 216
DFT formation energy in meV per atom: -429.1
Magnetization in μB per atom: 0.547


[2]
Computed, not measured: ThSc2Ag3 after structural relaxation at the PBE level of DFT.

abc: 3.4419 3.4419 11.1771
angles: 90.00 90.00 90.00
Last column: nearest neighbours and their distance in Å.
Fractional positions:
1 Ag 0.0000 0.0000 0.0000  8 Sc 2.98
2 Ag 0.0000 0.0000 0.7003  4 Sc 2.93
3 Ag 0.0000 0.0000 0.2997  4 Sc 2.93
4 Sc 0.5000 0.5000 0.1536  8 Ag 2.93-2.98
5 Sc 0.5000 0.5000 0.8464  8 Ag 2.93-2.98
6 Th 0.5000 0.5000 0.5000  8 Ag 3.31, 4 Th 3.44

Properties
SG: P4/mmm, No. 123
DFT formation energy in meV per atom: -201.2
Magnetization in μB per atom: 0.000


[3]
Computed, not measured: BaCeSm4Se8 after structural relaxation at the PBE level of DFT.

abc: 8.7661 8.7661 8.8143
angles: 60.18 60.18 60.00
Last column: nearest neighbours and their distance in Å.
Fractional positions:
1 Se 0.2342 0.2342 0.2975  3 Sm 2.90, 1 Ba 3.05
2 Se 0.7992 0.2356 0.7297  2 Sm 2.89, 1 Ce 2.94, 1 Ba 3.04
3 Se 0.2301 0.7540 0.2619  3 Sm 2.83-3.03, 1 Ce 3.07
4 Se 0.7540 0.7540 0.2619  3 Sm 2.83-3.03, 1 Ce 3.07
5 Se 0.7574 0.7574 0.7278  4 Sm 2.86-3.04
6 Se 0.2356 0.7992 0.7297  2 Sm 2.89, 1 Ce 2.94, 1 Ba 3.04
7 Se 0.2356 0.2356 0.7297  2 Sm 2.89, 1 Ce 2.94, 1 Ba 3.04
8 Se 0.7540 0.2301 0.2619  3 Sm 2.83-3.03, 1 Ce 3.07
9 Sm 0.6253 0.6253 0.1241  4 Se 2.83-2.86
10 Sm 0.4959 0.0016 0.5010  6 Se 2.89-3.04
11 Sm 0.0016 0.4959 0.5010  6 Se 2.89-3.04
12 Sm 0.0016 0.0016 0.5010  6 Se 2.89-3.04
13 Ba 0.3751 0.3751 0.8746  4 Se 3.04-3.05
14 Ce 0.0006 0.0006 0.9983  6 Se 2.94-3.07

Properties
Formation energy (no corrections) in eV per atom: -1.776
SG: R3m, No. 160
Magnetization in μB per atom: 0.103


[4]
Computed, not measured: Tl3ReO after structural relaxation at the PBE level of DFT.

abc: 5.3400 5.3400 5.3400
angles: 90.00 90.00 90.00
Last column: nearest neighbours and their distance in Å.
Fractional positions:
1 Re 0.0000 0.0000 0.0000  6 Tl 2.67
2 Tl 0.0000 0.0000 0.5000  2 Re 2.67
3 Tl 0.5000 0.0000 0.0000  2 Re 2.67
4 Tl 0.0000 0.5000 0.0000  2 Re 2.67
5 O 0.5000 0.5000 0.5000  12 Tl 3.78

Properties
Formation energy (no corrections) in eV per atom: 0.942
Distance to the lowest polymorph of the same formula in eV per atom: 0.037
SG: Pm-3m, No. 221
Magnetization in μB per atom: 0.473


[5]
Computed, not measured: Tb5Pr2HoTm after structural relaxation at the PBE level of DFT.

abc: 8.5789 8.5789 10.0692
angles: 115.21 115.21 90.00
Last column: nearest neighbours and their distance in Å.
Fractional positions:
1 Tb 0.4269 0.3582 0.2851  1 Pr 3.04, 1 Tm 3.14
2 Tb 0.6418 0.1418 0.7149  1 Pr 3.04, 1 Tm 3.14
3 Tb 0.9269 0.4269 0.2851  1 Pr 3.04, 1 Tm 3.14
4 Tb 0.5731 0.6418 0.7149  1 Pr 3.04, 1 Tm 3.14
5 Tb 0.0731 0.5731 0.7149  1 Pr 3.04, 1 Tm 3.14
6 Tb 0.3582 0.8582 0.2851  1 Pr 3.04, 1 Tm 3.14
7 Tb 0.1418 0.0731 0.7149  1 Pr 3.04, 1 Tm 3.14
8 Tb 0.5000 0.5000 0.0000  4 Pr 3.42, 8 Tb 3.82
9 Tb 0.8582 0.9269 0.2851  1 Pr 3.04, 1 Tm 3.14
10 Tb 0.0000 0.0000 0.0000  4 Pr 3.42, 8 Tb 3.82
11 Pr 0.8803 0.6197 0.0000  1 Pr 2.90, 2 Tb 3.04
12 Pr 0.6197 0.1197 0.0000  1 Pr 2.90, 2 Tb 3.04
13 Pr 0.1197 0.3803 0.0000  1 Pr 2.90, 2 Tb 3.04
14 Pr 0.3803 0.8803 0.0000  1 Pr 2.90, 2 Tb 3.04
15 Ho 0.2500 0.2500 0.5000  8 Tb 3.52
16 Ho 0.7500 0.7500 0.5000  8 Tb 3.52
17 Tm 0.7500 0.2500 0.5000  4 Tb 3.14
18 Tm 0.2500 0.7500 0.5000  4 Tb 3.14

Properties
SG: I4/mcm, No. 140
DFT formation energy in meV per atom: 274.8
Magnetization in μB per atom: 0.000


[6]
Computed, not measured: B2N after structural relaxation at the PBE level of DFT.

abc: 7.1097 2.5375 4.4536
angles: 90.00 102.28 90.00
Last column: nearest neighbours and their distance in Å.
Fractional positions:
1 N 0.9983 0.5000 0.1582  4 B 1.53-1.58
2 N 0.6967 0.5000 0.3875  4 B 1.49-1.59
3 N 0.6967 0.0000 0.8875  4 B 1.49-1.59
4 N 0.9983 0.0000 0.6582  4 B 1.53-1.58
5 B 0.0788 0.0000 0.3526  3 N 1.57-1.58, 1 B 1.74
6 B 0.3289 0.5000 0.9399  4 B 1.74-1.83
7 B 0.7787 0.5000 0.0829  4 N 1.53-1.59
8 B 0.4817 0.0000 0.8137  1 N 1.49
9 B 0.4817 0.5000 0.3137  1 N 1.49
10 B 0.3289 0.0000 0.4399  4 B 1.74-1.83
11 B 0.0788 0.5000 0.8526  3 N 1.57-1.58, 1 B 1.74
12 B 0.7787 0.0000 0.5829  4 N 1.53-1.59

Properties
Formation energy (no corrections) in eV per atom: -0.510
Distance to the lowest polymorph of the same formula in eV per atom: 0.096
SG: Cm, No. 8
Magnetization in μB per atom: 0.000


[7]
Computed, not measured: Zr2SiIr after structural relaxation at the PBE level of DFT.

abc: 3.9009 5.4511 7.6055
angles: 111.12 90.00 90.00
Last column: nearest neighbours and their distance in Å.
Fractional positions:
1 Zr 0.7500 0.2140 0.9179  3 Ir 2.77-2.98, 4 Si 2.80-2.94
2 Zr 0.7500 0.2040 0.4327  4 Ir 2.76-3.01, 3 Si 2.85-2.97
3 Zr 0.2500 0.7960 0.5673  4 Ir 2.76-3.01, 3 Si 2.85-2.97
4 Zr 0.2500 0.7860 0.0821  3 Ir 2.77-2.98, 4 Si 2.80-2.94
5 Si 0.2500 0.3358 0.2081  2 Ir 2.53, 1 Zr 2.80
6 Si 0.7500 0.6642 0.7919  2 Ir 2.53, 1 Zr 2.80
7 Ir 0.7500 0.6527 0.2912  2 Si 2.53, 5 Zr 2.76-2.80
8 Ir 0.2500 0.3473 0.7088  2 Si 2.53, 5 Zr 2.76-2.80

Properties
Formation energy (no corrections) in eV per atom: -0.857
SG: P2_1/m, No. 11
Magnetization in μB per atom: 0.000


[8]
Computed, not measured: K3RbSc after structural relaxation at the PBE level of DFT.

abc: 7.2540 7.2540 7.2540
angles: 90.00 90.00 90.00
Last column: nearest neighbours and their distance in Å.
Fractional positions:
1 Rb 0.5000 0.5000 0.5000  12 K 5.13
2 K 0.0000 0.5000 0.0000  2 Sc 3.63
3 K 0.0000 0.0000 0.5000  2 Sc 3.63
4 K 0.5000 0.0000 0.0000  2 Sc 3.63
5 Sc 0.0000 0.0000 0.0000  6 K 3.63

Properties
Distance to the lowest polymorph of the same formula in eV per atom: 0.000
SG: Pm-3m, No. 221
DFT formation energy in meV per atom: 646.3
Magnetization in μB per atom: 0.556